DFT (PBE) results for a relaxed structure of Sc5BTe2.

abc: 11.245 8.122 7.292
angles: 90.00 90.00 90.00
Space group Pnma (No. 62)
One atom of each set of equivalent atoms:
Sc: 0.003 0.250 0.060 (multiplicity 4)
Sc: 0.056 0.548 0.326 (multiplicity 8)
Sc: 0.192 0.750 0.643 (multiplicity 4)
Sc: 0.193 0.250 0.605 (multiplicity 4)
B: 0.012 0.250 0.426 (multiplicity 4)
Te: 0.175 0.014 0.921 (multiplicity 8)

Output
As for the total moment: 0.00 μB/f.u. As for the raw formation energy: -0.7234 eV per atom. The density of states at the Fermi level is 25.3 states/eV/cell. The total energy is -50.41 eV/f.u. The calculation puts the volume at 666 Å³ per cell.



DFT (PBE) results for a relaxed structure of ScBTe2.

abc: 4.1062 4.1062 22.9928
angles: 90.00 90.00 120.00
Space group R-3m (No. 166, hexagonal axes)
One atom of each set of equivalent atoms:
Sc: 0.0000 0.0000 0.0000 (multiplicity 3)
B: 0.0000 0.0000 0.5000 (multiplicity 3)
Te: 0.0000 0.0000 0.4083 (multiplicity 6)

Output
As for the total moment: 0.00 μB/f.u. As for the raw formation energy: 0.2143 eV per atom. The density of states at the Fermi level is 6.4 states/eV/cell. The total energy is -18.44 eV/f.u. The calculation puts the volume at 336 Å³ per cell.